First-principles (PBE+U) data for a relaxed structure of CaVCu2F, as listed in Alexandria.

Summary:
theoretical density = 4.120 Mg/m³
SG = P4/mmm, No. 123
E_tot = -3.98 eV per atom

```
CaVCu2F
1.0
4.905 0.000 0.000
0.000 3.972 0.000
0.000 0.000 4.905
Ca F Cu V
1 1 2 1
Cartesian
2.453 1.986 2.453
0.000 0.000 0.000
2.453 0.000 0.000
0.000 0.000 2.453
0.000 1.986 0.000
```